# 1
Computed, not measured: an optimized crystal structure of LiCuSiPd at the PBE level of DFT.

POSCAR file:
```
LiCuSiPd
1.0
0.0576 -3.8303 -1.5790
-3.5544 -2.0316 -0.6378
-1.3397 -0.6685 -3.8635
Cu Li Pd Si
1 1 1 1
Cartesian
-3.6274 -4.8978 -4.5603
-2.4183 -3.2652 -3.0402
-1.2091 -1.6326 -1.5201
0.0000 0.0000 0.0000
```

The total energy comes out at -4.508 eV/atom.

***

# 2
Computed, not measured: an optimized crystal structure of Li2Y2CuSn2Pd at the PBE level of DFT.

POSCAR file:
```
Li2Y2CuSn2Pd
1.0
-3.4750 2.5030 -2.0287
-1.4424 -3.8767 -2.3124
-4.0729 -1.5243 5.0958
Cu Li Pd Sn Y
1 2 1 2 2
Cartesian
-2.0365 -0.7621 2.5479
0.0000 0.0000 0.0000
-4.4951 -1.4489 0.3774
-2.4587 -0.6868 -2.1706
-2.7724 0.8642 0.2805
-3.7592 -3.0753 2.6448
-1.7539 -2.3248 0.1359
-4.7777 0.1137 2.7894
```

The total energy comes out at -4.817 eV/atom.

***

# 3
Computed, not measured: an optimized crystal structure of LiCuTe3Pd at the PBE level of DFT.

POSCAR file:
```
LiCuTe3Pd
1.0
3.8873 0.0000 0.0000
1.9437 6.5970 0.0000
0.0000 0.0000 10.4891
Cu Li Pd Te
2 2 2 6
Cartesian
1.9437 0.7284 2.6223
3.8873 5.8686 7.8668
3.8873 3.0533 2.6223
1.9437 3.5437 7.8668
0.0000 0.0000 0.0000
0.0000 0.0000 5.2446
1.9437 1.9155 0.3279
1.9437 5.5863 2.6223
1.9437 1.9155 4.9167
3.8874 4.6815 5.5724
3.8873 1.0107 7.8668
3.8874 4.6815 10.1612
```

The total energy comes out at -3.683 eV/atom.

***

# 4
Computed, not measured: an optimized crystal structure of LiCu3Te4Pd at the PBE level of DFT.

POSCAR file:
```
LiCu3Te4Pd
1.0
6.0101 0.0000 0.0000
0.0000 6.0101 0.0000
0.0000 0.0000 6.0101
Cu Li Pd Te
3 1 1 4
Cartesian
3.0051 3.0051 0.0000
3.0051 0.0000 3.0051
0.0000 3.0051 3.0051
0.0000 0.0000 0.0000
3.0051 3.0051 3.0051
1.4833 1.4833 1.4833
4.5268 4.5268 1.4833
4.5268 1.4833 4.5268
1.4833 4.5268 4.5268
```

The total energy comes out at -3.573 eV/atom.

***

# 5
Computed, not measured: an optimized crystal structure of LiTlCuPd at the PBE level of DFT.

POSCAR file:
```
LiTlCuPd
1.0
0.9278 -3.6893 2.3182
-0.8023 -0.1393 4.3798
-3.3096 -2.5298 1.5789
Cu Li Pd Tl
1 1 1 1
Cartesian
-2.3881 -4.7688 6.2076
-0.7960 -1.5896 2.0692
-1.5921 -3.1792 4.1384
0.0000 0.0000 0.0000
```

The total energy comes out at -3.477 eV/atom.

***

# 6
Computed, not measured: an optimized crystal structure of Li4ZnCuPd2 at the PBE level of DFT.

POSCAR file:
```
Li4ZnCuPd2
1.0
-2.5697 -1.9362 -2.7854
3.0351 -2.8731 -0.8029
-2.1510 -3.5084 4.4233
Cu Li Pd Zn
1 4 2 1
Cartesian
0.0000 0.0000 0.0000
0.2327 -2.4047 -1.7941
-1.8102 -1.8249 -0.3124
-1.0755 -1.7542 2.2117
-0.1082 -4.0881 2.9416
0.9793 -2.3144 0.7053
-2.8977 -3.5987 1.9239
-0.8428 -4.1589 0.4175
```

The total energy comes out at -3.237 eV/atom.

***

# 7
Computed, not measured: an optimized crystal structure of LiPmCu at the PBE level of DFT.

POSCAR file:
```
LiPmCu
1.0
0.0000 3.2735 3.2735
3.2735 0.0000 3.2735
3.2735 3.2735 0.0000
Cu Li Pm
1 1 1
Cartesian
0.0000 0.0000 0.0000
1.6367 1.6367 1.6367
4.9102 4.9102 4.9102
```

The total energy comes out at -3.362 eV/atom.

***

# 8
Computed, not measured: an optimized crystal structure of LiPmCu4 at the PBE level of DFT.

POSCAR file:
```
LiPmCu4
1.0
0.0000 3.5968 3.5968
3.5968 0.0000 3.5968
3.5968 3.5968 0.0000
Cu Li Pm
4 1 1
Cartesian
2.6832 2.6832 4.5104
2.6832 4.5104 2.6832
4.5104 2.6832 2.6832
4.5104 4.5104 4.5104
0.0000 0.0000 0.0000
1.7984 1.7984 1.7984
```

The total energy comes out at -3.759 eV/atom.

***

# 9
Computed, not measured: an optimized crystal structure of LiPmCu at the PBE level of DFT.

POSCAR file:
```
LiPmCu
1.0
0.0000 3.3048 3.3048
3.3048 0.0000 3.3048
3.3048 3.3048 0.0000
Cu Li Pm
1 1 1
Cartesian
4.9573 4.9573 4.9573
1.6524 1.6524 1.6524
3.3048 3.3048 3.3048
```

The total energy comes out at -2.947 eV/atom.

***

# 10
Computed, not measured: an optimized crystal structure of LiPrCu at the PBE level of DFT.

POSCAR file:
```
LiPrCu
1.0
0.0000 3.3113 3.3113
3.3113 0.0000 3.3113
3.3113 3.3113 0.0000
Cu Li Pr
1 1 1
Cartesian
0.0000 0.0000 0.0000
1.6556 1.6556 1.6556
4.9669 4.9669 4.9669
```

The total energy comes out at -3.364 eV/atom.

***

# 11
Computed, not measured: an optimized crystal structure of LiPrCu at the PBE level of DFT.

POSCAR file:
```
LiPrCu
1.0
0.0000 3.3421 3.3421
3.3421 0.0000 3.3421
3.3421 3.3421 0.0000
Cu Li Pr
1 1 1
Cartesian
1.6710 1.6710 1.6710
5.0131 5.0131 5.0131
0.0000 0.0000 0.0000
```

The total energy comes out at -2.952 eV/atom.

***

# 12
Computed, not measured: an optimized crystal structure of LiCuPt2 at the PBE level of DFT.

POSCAR file:
```
LiCuPt2
1.0
-2.4591 -2.9057 -1.8781
3.2295 -1.1011 -2.5250
0.8739 -2.0360 2.0057
Cu Li Pt
1 1 2
Cartesian
0.0000 0.0000 0.0000
0.3852 -2.0034 -2.2016
-0.7926 -2.4709 0.0638
2.0517 -1.5686 -0.2596
```

The total energy comes out at -4.761 eV/atom.

***

# 13
Computed, not measured: an optimized crystal structure of Li2CuPt3 at the PBE level of DFT.

POSCAR file:
```
Li2CuPt3
1.0
2.7430 0.0000 0.0000
-1.3715 2.3755 0.0000
0.0000 0.0000 12.8850
Cu Li Pt
1 2 3
Cartesian
0.0000 0.0000 0.0000
1.3715 0.7918 4.2948
0.0000 1.5837 8.5902
0.0000 1.5837 2.1492
0.0000 0.0000 6.4425
1.3715 0.7918 10.7358
```

The total energy comes out at -4.738 eV/atom.

***

# 14
Computed, not measured: an optimized crystal structure of LiCu2Pt3 at the PBE level of DFT.

POSCAR file:
```
LiCu2Pt3
1.0
2.7408 0.0000 0.0000
-1.3704 2.3736 0.0000
0.0000 0.0000 12.8998
Cu Li Pt
2 1 3
Cartesian
0.0000 1.5824 2.1478
1.3704 0.7912 10.7519
0.0000 0.0000 6.4499
0.0000 0.0000 0.0000
1.3704 0.7912 4.3020
0.0000 1.5824 8.5977
```

The total energy comes out at -4.890 eV/atom.

***

# 15
Computed, not measured: an optimized crystal structure of Li6CuPt at the PBE level of DFT.

POSCAR file:
```
Li6CuPt
1.0
4.2768 0.0000 0.0000
0.0000 4.2768 0.0000
0.0000 0.0000 6.0278
Cu Li Pt
1 6 1
Cartesian
0.0000 0.0000 0.0000
2.1384 2.1384 0.0000
2.1384 0.0000 1.5566
0.0000 2.1384 1.5566
0.0000 0.0000 3.0139
2.1384 0.0000 4.4711
0.0000 2.1384 4.4711
2.1384 2.1384 3.0139
```

The total energy comes out at -2.863 eV/atom.

***

# 16
Computed, not measured: an optimized crystal structure of LiCuPtS3 at the PBE level of DFT.

POSCAR file:
```
LiCuPtS3
1.0
-2.5233 4.6277 -2.8736
-3.9548 1.5585 -4.2392
-6.8804 0.3033 6.5303
Cu Li Pt S
2 2 2 6
Cartesian
-4.5476 2.7760 -1.4720
-8.8109 3.7136 0.8895
-6.4257 4.5694 -3.5340
-6.9329 1.9202 2.9515
0.0000 0.0000 0.0000
-3.4402 0.1517 3.2651
-2.5685 2.2511 -2.3670
-2.1882 0.5229 1.1186
-5.5660 2.3833 0.4780
-7.7925 4.1062 -1.0604
-11.1703 5.9667 -1.7011
-10.7900 4.2384 1.7845
```

The total energy comes out at -4.411 eV/atom.

***

# 17
Computed, not measured: an optimized crystal structure of LiCu3PtS4 at the PBE level of DFT.

POSCAR file:
```
LiCu3PtS4
1.0
-5.1928 -1.2797 -1.1187
1.5426 -2.0377 -4.8293
0.7139 -4.9056 2.2979
Cu Li Pt S
3 1 1 4
Cartesian
-1.8251 -1.6587 -2.9740
-2.2395 -3.0926 0.5896
1.1282 -3.4716 -1.2657
0.0000 0.0000 0.0000
-1.4682 -4.1115 -1.8251
-0.7308 -2.0465 -0.9084
-2.5641 -3.7126 -3.8959
-2.9803 -5.1530 -0.3162
0.4025 -5.5337 -2.1799
```

The total energy comes out at -4.132 eV/atom.

***

# 18
Computed, not measured: an optimized crystal structure of LiCuPtSe2S at the PBE level of DFT.

POSCAR file:
```
LiCuPtSe2S
1.0
1.8906 -5.9200 0.0000
1.8906 5.9200 0.0000
0.0000 0.0000 9.6424
Cu Li Pt S Se
2 2 2 2 4
Cartesian
1.8906 5.4246 2.4106
1.8906 -5.4246 7.2318
1.8906 -3.2115 2.4106
1.8906 3.2115 7.2318
1.8906 0.0000 0.0000
1.8906 0.0000 4.8212
1.8906 0.8529 2.4106
1.8906 -0.8529 7.2318
1.8906 4.2153 0.3274
1.8906 4.2153 4.4938
1.8906 -4.2153 5.1486
1.8906 -4.2153 9.3150
```

The total energy comes out at -4.188 eV/atom.

***

# 19
Computed, not measured: an optimized crystal structure of LiCuPtSeS2 at the PBE level of DFT.

POSCAR file:
```
LiCuPtSeS2
1.0
1.8273 -5.8852 0.0000
1.8273 5.8852 0.0000
0.0000 0.0000 9.8381
Cu Li Pt S Se
2 2 2 4 2
Cartesian
1.8273 -0.7530 2.4595
1.8273 0.7530 7.3786
1.8273 2.9475 2.4595
1.8273 -2.9475 7.3786
0.0000 0.0000 0.0000
0.0000 0.0000 4.9190
1.8273 -1.5580 0.3753
1.8273 -1.5580 4.5438
1.8273 1.5580 5.2943
1.8273 1.5580 9.4628
1.8273 -4.9155 2.4595
1.8273 4.9155 7.3786
```

The total energy comes out at -4.294 eV/atom.

***

# 20
Computed, not measured: an optimized crystal structure of LiCuTePtS2 at the PBE level of DFT.

POSCAR file:
```
LiCuTePtS2
1.0
-5.6719 2.9578 1.6084
3.8782 -2.5944 -4.6621
-4.4599 -9.3703 1.5044
Cu Li Pt S Te
2 2 2 4 2
Cartesian
-1.3346 -2.5545 -1.5954
-4.9190 -6.4523 0.0461
-4.6204 -0.6443 0.5620
-1.6332 -8.3626 -2.1113
0.0000 0.0000 0.0000
-2.2300 -4.6852 0.7522
0.0684 -0.9395 -2.2273
-1.7440 -4.7473 -1.6160
-4.5097 -4.2596 0.0666
-6.3220 -8.0673 0.6780
1.9205 -4.4470 -3.7327
-8.1742 -4.5598 2.1834
```

The total energy comes out at -4.197 eV/atom.

***

# 21
Computed, not measured: an optimized crystal structure of Li2ScCuSi2Pt2 at the PBE level of DFT.

POSCAR file:
```
Li2ScCuSi2Pt2
1.0
4.1203 0.0000 0.0000
0.0000 4.1203 0.0000
0.0000 0.0000 6.4563
Cu Li Pt Sc Si
1 2 2 1 2
Cartesian
0.0000 0.0000 3.2282
0.0000 2.0601 1.7658
2.0601 0.0000 4.6905
0.0000 0.0000 0.0000
2.0601 2.0601 3.2282
2.0601 2.0601 0.0000
2.0601 0.0000 1.7899
0.0000 2.0601 4.6664
```

The total energy comes out at -5.263 eV/atom.

***

# 22
Computed, not measured: an optimized crystal structure of LiCu3PtSe4 at the PBE level of DFT.

POSCAR file:
```
LiCu3PtSe4
1.0
5.6837 0.0000 0.0000
0.0000 5.6837 0.0000
0.0000 0.0000 5.6837
Cu Li Pt Se
3 1 1 4
Cartesian
2.8419 2.8419 0.0000
2.8419 0.0000 2.8419
0.0000 2.8419 2.8419
0.0000 0.0000 0.0000
2.8419 2.8419 2.8419
1.4008 1.4008 1.4008
4.2829 4.2829 1.4008
4.2829 1.4008 4.2829
1.4008 4.2829 4.2829
```

The total energy comes out at -3.841 eV/atom.

***

# 23
Computed, not measured: an optimized crystal structure of LiCuTe2PtSe at the PBE level of DFT.

POSCAR file:
```
LiCuTe2PtSe
1.0
2.0054 -6.2426 0.0000
2.0054 6.2426 0.0000
0.0000 0.0000 10.5100
Cu Li Pt Se Te
2 2 2 2 4
Cartesian
2.0054 -5.5976 2.6275
2.0054 5.5976 7.8825
2.0054 3.4980 2.6275
2.0054 -3.4980 7.8825
2.0054 0.0000 0.0000
2.0054 0.0000 5.2550
2.0054 -0.7723 2.6275
2.0054 0.7723 7.8825
2.0054 -4.4575 0.3152
2.0054 -4.4575 4.9398
2.0054 4.4575 5.5702
2.0054 4.4575 10.1948
```

The total energy comes out at -3.910 eV/atom.

***

# 24
Computed, not measured: an optimized crystal structure of Li4CuSiPt2 at the PBE level of DFT.

POSCAR file:
```
Li4CuSiPt2
1.0
-3.8055 0.7346 1.6559
-1.0775 -4.0149 -0.6950
2.0229 -1.4598 5.2965
Cu Li Pt Si
1 4 2 1
Cartesian
0.0000 0.0000 0.0000
-2.4415 -1.6401 0.4804
-1.4112 0.0126 2.1151
1.0114 -0.7299 2.6482
0.9925 -3.1125 3.6618
0.0196 -2.4104 1.1145
-0.4383 -0.6895 4.6624
-1.4300 -2.3700 3.1287
```

The total energy comes out at -4.158 eV/atom.

***

# 25
Computed, not measured: an optimized crystal structure of LiCuSnPt at the PBE level of DFT.

POSCAR file:
```
LiCuSnPt
1.0
1.0827 -0.5121 4.2762
-2.9533 -1.6946 2.8506
0.6051 -4.0721 1.6650
Cu Li Pt Sn
1 1 1 1
Cartesian
-0.9492 -4.7091 6.5938
-0.6328 -3.1394 4.3959
-0.3164 -1.5697 2.1980
0.0000 0.0000 0.0000
```

The total energy comes out at -4.337 eV/atom.